RbEuTl2 after structural relaxation, computed with PBE.

a = 4.097 Å, b = 4.097 Å, c = 8.844 Å
α = 90.00°, β = 90.00°, γ = 90.00°
Site moments in Bohr magnetons follow the coordinates.
Element x y z (fractional)
Tl  0.000  0.000  0.796  -0.01
Tl  0.000  0.000  0.204  -0.01
Eu  0.500  0.500  0.000  6.83
Rb  0.500  0.500  0.500  -0.01

Computed properties:
For the excess energy over the best structure of this formula in the dataset, the calculation gives 0.00 eV per formula unit. The value obtained for the density of states at the Fermi level is 2.43 states/eV/atom. Its energy relative to the elements is -0.202 eV/atom.



RbEuTl after structural relaxation, computed with PBE.

a = 4.213 Å, b = 4.213 Å, c = 8.306 Å
α = 104.69°, β = 104.69°, γ = 90.00°
Site moments in Bohr magnetons follow the coordinates.
Element x y z (fractional)
Rb  0.020  0.020  0.041  0.00
Tl  0.692  0.692  0.384  0.01
Eu  0.288  0.288  0.576  6.92

Computed properties:
The value obtained for the density of states at the Fermi level is 4.10 states/eV/atom. Its energy relative to the elements is -0.089 eV/atom.



RbEuTl2 after structural relaxation, computed with PBE.

a = 5.906 Å, b = 5.906 Å, c = 5.906 Å
α = 60.00°, β = 60.00°, γ = 60.00°
Site moments in Bohr magnetons follow the coordinates.
Element x y z (fractional)
Tl  0.750  0.750  0.750  -0.01
Tl  0.250  0.250  0.250  -0.01
Rb  0.500  0.500  0.500  0.00
Eu  0.000  0.000  0.000  -6.92

Computed properties:
For the excess energy over the best structure of this formula in the dataset, the calculation gives 0.38 eV per formula unit. The value obtained for the density of states at the Fermi level is 3.13 states/eV/atom. Its energy relative to the elements is -0.106 eV/atom.



RbEu2Tl after structural relaxation, computed with PBE.

a = 4.060 Å, b = 4.060 Å, c = 13.348 Å
α = 81.25°, β = 81.25°, γ = 60.00°
Site moments in Bohr magnetons follow the coordinates.
Element x y z (fractional)
Eu  0.105  0.105  0.685  6.98
Eu  0.895  0.895  0.315  6.98
Tl  0.500  0.500  0.500  0.01
Rb  0.000  0.000  0.000  0.01

Computed properties:
For the excess energy over the best structure of this formula in the dataset, the calculation gives 0.47 eV per formula unit. The value obtained for the density of states at the Fermi level is 4.72 states/eV/atom. Its energy relative to the elements is -0.001 eV/atom.



RbEuTl2 after structural relaxation, computed with PBE.

a = 3.969 Å, b = 3.969 Å, c = 11.497 Å
α = 80.06°, β = 80.06°, γ = 60.00°
Site moments in Bohr magnetons follow the coordinates.
Element x y z (fractional)
Tl  0.742  0.742  0.774  -0.01
Tl  0.258  0.258  0.226  -0.01
Rb  0.500  0.500  0.500  0.00
Eu  0.000  0.000  0.000  -6.93

Computed properties:
For the excess energy over the best structure of this formula in the dataset, the calculation gives 0.54 eV per formula unit. The value obtained for the density of states at the Fermi level is 2.17 states/eV/atom. Its energy relative to the elements is -0.068 eV/atom.



RbEu2Tl after structural relaxation, computed with PBE.

a = 4.083 Å, b = 4.083 Å, c = 11.099 Å
α = 90.00°, β = 90.00°, γ = 90.00°
Site moments in Bohr magnetons follow the coordinates.
Element x y z (fractional)
Eu  0.000  0.000  0.166  6.94
Eu  0.000  0.000  0.834  6.94
Rb  0.500  0.500  0.500  0.01
Tl  0.500  0.500  0.000  -0.01

Computed properties:
For the excess energy over the best structure of this formula in the dataset, the calculation gives 0.00 eV per formula unit. The value obtained for the density of states at the Fermi level is 4.99 states/eV/atom. Its energy relative to the elements is -0.118 eV/atom.



RbEu2Zn after structural relaxation, computed with PBE.

a = 3.904 Å, b = 3.904 Å, c = 10.988 Å
α = 90.00°, β = 90.00°, γ = 90.00°
Site moments in Bohr magnetons follow the coordinates.
Element x y z (fractional)
Rb  0.500  0.500  0.500  0.02
Eu  0.000  0.000  0.160  6.95
Eu  0.000  0.000  0.840  6.95
Zn  0.500  0.500  0.000  0.01

Computed properties:
The value obtained for the density of states at the Fermi level is 4.88 states/eV/atom. Its energy relative to the elements is -0.014 eV/atom.



RbEu3Zn after structural relaxation, computed with PBE.

a = 6.194 Å, b = 6.194 Å, c = 6.194 Å
α = 90.00°, β = 90.00°, γ = 90.00°
Site moments in Bohr magnetons follow the coordinates.
Element x y z (fractional)
Eu  0.500  0.000  0.000  6.99
Eu  0.000  0.000  0.500  6.99
Eu  0.000  0.500  0.000  6.99
Zn  0.000  0.000  0.000  0.05
Rb  0.500  0.500  0.500  0.01

Computed properties:
The value obtained for the density of states at the Fermi level is 6.29 states/eV/atom. Its energy relative to the elements is 0.088 eV/atom.